{
  "formula": "Ho3Os",
  "functional": "meta-GGA SCAN",
  "state": "PBEsol geometry",
  "formation_energy_mev_per_atom": -395,
  "volume_a3_per_fu": 99,
  "m_tot_mub_per_fu": 0.00,
  "final_energy_ev_per_atom": -55.11,
  "lattice": [[6.1709, 0.0000, 0.0000], [0.0000, 7.2801, 0.0000], [0.0000, 0.0000, 8.8563]],
  "species": ["Ho", "Ho", "Ho", "Ho", "Ho", "Ho", "Ho", "Ho", "Ho", "Ho", "Ho", "Ho", "Os", "Os", "Os", "Os"],
  "frac_coords": [[0.3340, 0.6756, 0.0621], [0.1660, 0.1756, 0.4379], [0.6660, 0.3244, 0.5621], [0.8340, 0.8244, 0.9379], [0.6660, 0.3244, 0.9379], [0.8340, 0.8244, 0.5621], [0.3340, 0.6756, 0.4379], [0.1660, 0.1756, 0.0621], [0.8728, 0.5377, 0.2500], [0.6272, 0.0377, 0.2500], [0.1272, 0.4623, 0.7500], [0.3728, 0.9623, 0.7500], [0.0413, 0.8827, 0.2500], [0.4587, 0.3827, 0.2500], [0.9587, 0.1173, 0.7500], [0.5413, 0.6173, 0.7500]]
}